BaZnCoTe3 | PBE-GGA | relaxed

VASP energy, eV/atom: -3.7912
Symmetry: Cmcm (63)
Energy above the most stable polymorph in this dataset, meV/atom: 3

Cell: 7.6183 7.6183 10.6852 Å, 90.00 90.00 32.63°
Site moments in Bohr magnetons follow the coordinates.
Fractional coordinates of all 12 atoms:
1 Co 0.0000 0.0000 0.5000  1.03
2 Co 0.0000 0.0000 0.0000  1.01
3 Zn 0.5356 0.5356 0.7500  0.01
4 Zn 0.4644 0.4644 0.2500  0.01
5 Te 0.9318 0.9318 0.7500  -0.01
6 Te 0.0682 0.0682 0.2500  -0.01
7 Te 0.6198 0.6198 0.5313  -0.01
8 Te 0.3802 0.3802 0.4687  -0.01
9 Te 0.6198 0.6198 0.9687  -0.02
10 Te 0.3802 0.3802 0.0313  -0.02
11 Ba 0.2332 0.2332 0.7500  0.01
12 Ba 0.7668 0.7668 0.2500  0.01